SrScTa3 | PBE | relaxed

The structure in POSCAR format:
```
SrScTa3
1.0
-1.743 0.215 4.594
-4.585 -0.464 -1.718
0.358 -4.892 0.365
Sc Sr Ta
1 1 3
Direct
0.500 0.500 0.500
0.000 0.000 0.000
0.000 0.500 0.000
0.000 0.000 0.500
0.500 0.000 0.000
```

## Properties
The value obtained for the total energy is -6.199 eV/atom. Its density of states at the Fermi level is 1.235 states/eV per atom. As for the relative energy among the computed polymorphs: 4.06 eV per formula unit. Its space group is Pm-3m. Its formation enthalpy at 0 K is 2.52 eV per atom. The total magnetization is 0.000 μB/cell.